No. 1
DFT (PBE-GGA) results for LaInHg after structural relaxation.

a = 6.2966 Å, b = 6.2966 Å, c = 6.2966 Å
α = 132.57°, β = 95.22°, γ = 103.45°
Closest atoms and distances in Å follow each position.
Element x y z (fractional)
La: 0.2227 0.2500 0.4727  6 Hg 3.40-3.64, 6 In 3.42-3.59
La: 0.7773 0.7500 0.5273  6 Hg 3.40-3.64, 6 In 3.42-3.59
In: 0.6227 0.9589 0.1638  2 Hg 2.89-3.20, 2 In 2.93
In: 0.7951 0.4589 0.8362  2 Hg 2.89-3.20, 2 In 2.93
Hg: 0.2146 0.5486 0.1660  2 In 2.89-3.20, 2 Hg 2.91
Hg: 0.3826 0.0486 0.8340  2 In 2.89-3.20, 2 Hg 2.91

No. 2
DFT (PBE-GGA) results for La2In3Hg4 after structural relaxation.

Values from the calculation:
Offset from the most stable computed form = 59 meV per atom

a = 9.0185 Å, b = 9.0185 Å, c = 8.8731 Å
α = 90.00°, β = 90.00°, γ = 138.11°
Closest atoms and distances in Å follow each position.
Element x y z (fractional)
La: 0.1149 0.8851 0.9191  8 Hg 3.41-3.67, 4 In 3.58-3.77
La: 0.3851 0.6149 0.4191  8 Hg 3.41-3.67, 4 In 3.58-3.77
La: 0.6149 0.3851 0.5809  8 Hg 3.41-3.67, 4 In 3.58-3.77
La: 0.8851 0.1149 0.0809  8 Hg 3.41-3.67, 4 In 3.58-3.77
In: 0.0000 0.0000 0.5000  6 Hg 2.85-3.01
In: 0.0324 0.4676 0.7500  5 Hg 2.89-3.13, 2 In 3.22
In: 0.4676 0.0324 0.2500  5 Hg 2.89-3.13, 2 In 3.22
In: 0.5000 0.5000 0.0000  6 Hg 2.85-3.01
In: 0.5324 0.9676 0.7500  5 Hg 2.89-3.13, 2 In 3.22
In: 0.9676 0.5324 0.2500  5 Hg 2.89-3.13, 2 In 3.22
Hg: 0.1773 0.8227 0.5428  5 In 3.01-3.13
Hg: 0.2041 0.2959 0.7500  3 In 2.85-2.89
Hg: 0.2959 0.2041 0.2500  3 In 2.85-2.89
Hg: 0.3227 0.6773 0.0428  5 In 3.01-3.13
Hg: 0.6773 0.3227 0.9572  5 In 3.01-3.13
Hg: 0.7041 0.7959 0.7500  3 In 2.85-2.89
Hg: 0.7959 0.7041 0.2500  3 In 2.85-2.89
Hg: 0.8227 0.1773 0.4572  5 In 3.01-3.13

No. 3
DFT (PBE-GGA) results for LaIn5Hg4 after structural relaxation.

a = 5.3833 Å, b = 7.1970 Å, c = 7.5168 Å
α = 108.93°, β = 95.92°, γ = 95.14°
Closest atoms and distances in Å follow each position.
Element x y z (fractional)
La: 0.0000 0.0000 0.0000  6 Hg 3.34-3.57, 6 In 3.63-3.67
In: 0.0000 0.0000 0.5000  4 Hg 2.91-2.94, 2 In 3.09
In: 0.1063 0.6113 0.2060  5 In 3.03-3.28, 3 Hg 3.03-3.28
In: 0.4363 0.6389 0.8702  4 Hg 3.14-3.21, 4 In 3.17-3.28
In: 0.5637 0.3611 0.1298  4 Hg 3.14-3.21, 4 In 3.17-3.28
In: 0.8937 0.3887 0.7940  5 In 3.03-3.28, 3 Hg 3.03-3.28
Hg: 0.2348 0.3633 0.4524  5 In 2.94-3.28, 2 Hg 3.19-3.28
Hg: 0.4718 0.0193 0.7353  4 In 2.91-3.22
Hg: 0.5282 0.9807 0.2647  4 In 2.91-3.22
Hg: 0.7652 0.6367 0.5476  5 In 2.94-3.28, 2 Hg 3.19-3.28

No. 4
DFT (PBE-GGA) results for LaInHg after structural relaxation.

a = 4.7259 Å, b = 5.3230 Å, c = 7.1082 Å
α = 90.07°, β = 109.35°, γ = 90.00°
Closest atoms and distances in Å follow each position.
Element x y z (fractional)
La: 0.0000 0.0000 0.0000  6 In 3.25-3.56, 4 Hg 3.25-3.35
La: 0.1965 0.5010 0.3946  4 In 3.22-3.48, 6 Hg 3.23-3.57
In: 0.5066 0.5001 0.0148  2 In 3.07-3.08
In: 0.8599 0.4997 0.7217  2 In 3.07-3.08, 4 La 3.22-3.25
Hg: 0.3341 0.0011 0.6667  2 Hg 3.16-3.17, 4 La 3.23-3.25, 1 In 3.53
Hg: 0.6770 0.0009 0.3529  2 Hg 3.16-3.17, 2 La 3.34-3.35, 2 In 3.50

No. 5
DFT (PBE-GGA) results for La4InHg after structural relaxation.

Values from the calculation:
Offset from the most stable computed form = 0 meV per atom

a = 3.9751 Å, b = 3.9751 Å, c = 12.3977 Å
α = 90.00°, β = 90.00°, γ = 90.00°
Closest atoms and distances in Å follow each position.
Element x y z (fractional)
La: 0.0000 0.0000 0.1508  4 Hg 3.38, 5 La 3.72-3.74
La: 0.0000 0.0000 0.8492  4 Hg 3.38, 5 La 3.72-3.74
La: 0.5000 0.5000 0.3480  4 In 3.38, 5 La 3.72-3.77
La: 0.5000 0.5000 0.6520  4 In 3.38, 5 La 3.72-3.77
In: 0.0000 0.0000 0.5000  8 La 3.38
Hg: 0.5000 0.5000 0.0000  8 La 3.38

No. 6
DFT (PBE-GGA) results for La2In2Hg after structural relaxation.

Values from the calculation:
Offset from the most stable computed form = 62 meV per atom

a = 7.7116 Å, b = 7.7116 Å, c = 5.0258 Å
α = 90.00°, β = 90.00°, γ = 90.00°
Closest atoms and distances in Å follow each position.
Element x y z (fractional)
La: 0.1683 0.3317 0.0000  6 In 3.30-3.45, 1 La 3.67
La: 0.3317 0.8317 0.0000  6 In 3.30-3.45, 1 La 3.67
La: 0.6683 0.1683 0.0000  6 In 3.30-3.45, 1 La 3.67
La: 0.8317 0.6683 0.0000  6 In 3.30-3.45, 1 La 3.67
In: 0.1361 0.6361 0.5000  1 In 2.97, 2 Hg 3.00, 2 La 3.30
In: 0.3639 0.1361 0.5000  1 In 2.97, 2 Hg 3.00, 2 La 3.30
In: 0.6361 0.8639 0.5000  1 In 2.97, 2 Hg 3.00, 2 La 3.30
In: 0.8639 0.3639 0.5000  1 In 2.97, 2 Hg 3.00, 2 La 3.30
Hg: 0.0000 0.0000 0.5000  4 In 3.00
Hg: 0.5000 0.5000 0.5000  4 In 3.00

No. 7
DFT (PBE-GGA) results for LaInHg after structural relaxation.

a = 7.1515 Å, b = 7.1515 Å, c = 5.2245 Å
α = 90.05°, β = 90.05°, γ = 38.75°
Closest atoms and distances in Å follow each position.
Element x y z (fractional)
La: 0.0000 0.0000 0.0000  6 In 3.26-3.53, 4 Hg 3.27-3.40
La: 0.1934 0.1934 0.5009  6 Hg 3.22-3.53, 4 In 3.23-3.47
In: 0.3341 0.3341 0.0010  2 Hg 3.15, 4 La 3.23-3.26, 2 In 3.48-3.49
In: 0.5053 0.5053 0.4999  2 Hg 3.12, 2 La 3.47, 2 In 3.48-3.49
Hg: 0.6806 0.6806 0.0007  4 In 3.15-3.53, 2 La 3.40, 2 Hg 3.51-3.52
Hg: 0.8547 0.8547 0.4999  2 In 3.12, 4 La 3.22-3.27

No. 8
DFT (PBE-GGA) results for La4In12Hg after structural relaxation.

a = 8.4641 Å, b = 8.4641 Å, c = 8.4641 Å
α = 109.47°, β = 109.47°, γ = 109.47°
Closest atoms and distances in Å follow each position.
Element x y z (fractional)
La: 0.0000 0.0000 0.5000  12 In 3.46-3.49
La: 0.0000 0.5000 0.0000  12 In 3.46-3.49
La: 0.5000 0.0000 0.0000  12 In 3.46-3.49
La: 0.5000 0.5000 0.5000  12 In 3.46-3.49
In: 0.0000 0.2991 0.2991  1 Hg 2.92, 4 In 3.13
In: 0.0000 0.7009 0.7009  1 Hg 2.92, 4 In 3.13
In: 0.2500 0.5000 0.7500  8 In 3.13-3.46, 4 La 3.46
In: 0.2500 0.7500 0.5000  8 In 3.13-3.46, 4 La 3.46
In: 0.2991 0.0000 0.2991  1 Hg 2.92, 4 In 3.13
In: 0.2991 0.2991 0.0000  1 Hg 2.92, 4 In 3.13
In: 0.5000 0.2500 0.7500  8 In 3.13-3.46, 4 La 3.46
In: 0.5000 0.7500 0.2500  8 In 3.13-3.46, 4 La 3.46
In: 0.7009 0.0000 0.7009  1 Hg 2.92, 4 In 3.13
In: 0.7009 0.7009 0.0000  1 Hg 2.92, 4 In 3.13
In: 0.7500 0.2500 0.5000  8 In 3.13-3.46, 4 La 3.46
In: 0.7500 0.5000 0.2500  8 In 3.13-3.46, 4 La 3.46
Hg: 0.0000 0.0000 0.0000  6 In 2.92

| no. | calculated total energy (eV/cell) | energy of formation from the pure elements (eV per atom) |
| --- | --- | --- |
| 1 | -18.9 | -0.500 |
| 2 | -44.5 | -0.333 |
| 3 | -21.2 | -0.133 |
| 4 | -18.4 | -0.417 |
| 5 | -24.6 | -0.315 |
| 6 | -35.7 | -0.439 |
| 7 | -18.5 | -0.428 |
| 8 | -60.0 | -0.422 |